# 1
! Nd6Sb3Pd | Alexandria | PBE | optimized geometry; values from VASP
&SYSTEM
  ibrav = 0, nat = 20, ntyp = 3
/
ATOMIC_SPECIES
Nd 144.24 Nd.upf
Sb 121.76 Sb.upf
Pd 106.42 Pd.upf
CELL_PARAMETERS angstrom
5.811 -7.622 0.000
5.811 7.622 0.000
0.000 0.000 7.536
ATOMIC_POSITIONS angstrom
Nd 5.811 7.460 3.768
Nd 3.888 3.596 0.510
Nd 5.811 3.808 4.461
Nd 3.757 0.637 4.642
Nd 3.757 -0.637 0.874
Nd 7.735 3.596 0.510
Nd 3.888 -3.596 4.278
Nd 7.865 0.637 4.642
Nd 7.865 -0.637 0.874
Nd 5.811 -3.808 0.693
Nd 7.735 -3.596 4.278
Nd 5.811 -7.460 0.000
Sb 2.050 1.654 2.142
Sb 2.050 -1.654 5.910
Sb 5.811 1.373 6.901
Sb 5.811 -1.373 3.133
Sb 9.573 1.654 2.142
Sb 9.573 -1.654 5.910
Pd 5.811 5.298 1.910
Pd 5.811 -5.298 5.678
! space-group type: Cmc2_1, No. 36
! formation energy from raw total energies: -7.00 eV/f.u.
! M_tot: 0.00 μB/f.u.

# 2
! Nd5Sb2Pd | Alexandria | PBE | optimized geometry; values from VASP
&SYSTEM
  ibrav = 0, nat = 16, ntyp = 3
/
ATOMIC_SPECIES
Nd 144.24 Nd.upf
Sb 121.76 Sb.upf
Pd 106.42 Pd.upf
CELL_PARAMETERS angstrom
3.056 -6.216 0.000
3.056 6.216 0.000
0.000 0.000 14.347
ATOMIC_POSITIONS angstrom
Nd 3.056 5.430 8.729
Nd 3.056 5.430 12.792
Nd 3.056 1.880 3.587
Nd 3.056 1.609 8.205
Nd 3.056 1.609 13.316
Nd 3.056 -1.609 1.032
Nd 3.056 -1.609 6.142
Nd 3.056 -1.880 10.761
Nd 3.056 -5.430 1.555
Nd 3.056 -5.430 5.618
Sb 3.056 3.840 1.255
Sb 3.056 3.840 5.919
Sb 3.056 -3.840 8.428
Sb 3.056 -3.840 13.093
Pd 3.056 3.413 10.761
Pd 3.056 -3.413 3.587
! space-group type: Cmcm, No. 63
! formation energy from raw total energies: -3.94 eV/f.u.
! M_tot: 0.00 μB/f.u.

# 3
! NdSb2Pd7 | Alexandria | PBE | optimized geometry; values from VASP
&SYSTEM
  ibrav = 0, nat = 10, ntyp = 3
/
ATOMIC_SPECIES
Nd 144.24 Nd.upf
Sb 121.76 Sb.upf
Pd 106.42 Pd.upf
CELL_PARAMETERS angstrom
-2.111 2.111 10.866
2.111 -2.111 10.866
2.111 2.111 -10.866
ATOMIC_POSITIONS angstrom
Nd 0.000 0.000 0.000
Sb 0.000 0.000 7.118
Sb 0.000 0.000 14.615
Pd 2.111 0.000 2.120
Pd 2.111 0.000 5.433
Pd 2.111 0.000 8.747
Pd 0.000 0.000 10.866
Pd 0.000 2.111 2.120
Pd 0.000 2.111 5.433
Pd 0.000 2.111 8.747
! space-group type: I4/mmm, No. 139
! formation energy from raw total energies: -5.42 eV/f.u.
! M_tot: 0.00 μB/f.u.

# 4
! Nd2SbPd3 | Alexandria | PBE | optimized geometry; values from VASP
&SYSTEM
  ibrav = 0, nat = 12, ntyp = 3
/
ATOMIC_SPECIES
Nd 144.24 Nd.upf
Sb 121.76 Sb.upf
Pd 106.42 Pd.upf
CELL_PARAMETERS angstrom
0.000 4.480 8.145
3.862 0.000 8.145
3.862 4.480 0.000
ATOMIC_POSITIONS angstrom
Nd 5.864 4.480 8.145
Nd 1.931 2.240 4.073
Nd 5.794 6.721 12.218
Nd 1.861 4.480 8.145
Sb 3.862 4.480 5.491
Sb 3.862 4.480 10.800
Pd 3.862 2.214 6.810
Pd 3.862 4.480 2.847
Pd 3.862 2.214 9.480
Pd 3.862 6.747 6.810
Pd 3.862 4.480 13.443
Pd 3.862 6.747 9.480
! space-group type: Fmmm, No. 69
! formation energy from raw total energies: -4.87 eV/f.u.
! M_tot: 0.00 μB/f.u.

# 5
! NdSb2Pd4 | Alexandria | PBE | optimized geometry; values from VASP
&SYSTEM
  ibrav = 0, nat = 14, ntyp = 3
/
ATOMIC_SPECIES
Nd 144.24 Nd.upf
Sb 121.76 Sb.upf
Pd 106.42 Pd.upf
CELL_PARAMETERS angstrom
8.017 0.000 0.000
0.000 8.017 0.000
0.000 0.000 4.347
ATOMIC_POSITIONS angstrom
Nd 0.000 0.000 0.000
Nd 4.008 4.008 2.174
Sb 1.745 1.745 2.174
Sb 2.264 5.753 0.000
Sb 5.753 2.264 0.000
Sb 6.272 6.272 2.174
Pd 0.759 5.207 2.174
Pd 1.198 3.249 0.000
Pd 2.810 7.258 2.174
Pd 3.249 1.198 0.000
Pd 4.768 6.819 0.000
Pd 5.207 0.759 2.174
Pd 6.819 4.768 0.000
Pd 7.258 2.810 2.174
! space-group type: P4_2/mnm, No. 136
! formation energy from raw total energies: -5.02 eV/f.u.
! M_tot: 0.00 μB/f.u.

# 6
! NdSb3Pd3 | Alexandria | PBE | optimized geometry; values from VASP
&SYSTEM
  ibrav = 0, nat = 14, ntyp = 3
/
ATOMIC_SPECIES
Nd 144.24 Nd.upf
Sb 121.76 Sb.upf
Pd 106.42 Pd.upf
CELL_PARAMETERS angstrom
7.254 0.000 0.000
0.000 7.254 0.000
0.000 0.000 7.254
ATOMIC_POSITIONS angstrom
Nd 0.000 0.000 0.000
Nd 3.627 3.627 3.627
Sb 0.000 1.814 3.627
Sb 0.000 5.441 3.627
Sb 1.814 3.627 0.000
Sb 3.627 0.000 1.814
Sb 3.627 0.000 5.441
Sb 5.441 3.627 0.000
Pd 0.000 3.627 1.814
Pd 0.000 3.627 5.441
Pd 1.814 0.000 3.627
Pd 3.627 1.814 0.000
Pd 3.627 5.441 0.000
Pd 5.441 0.000 3.627
! space-group type: Pm-3n, No. 223
! formation energy from raw total energies: -1.81 eV/f.u.
! M_tot: 0.00 μB/f.u.

- Number 2 is which compound?
  Nd5Sb2Pd